Computed, not measured: a geometry-optimized NaLi3V4O12 structure at the GGA+U level of DFT.

- DOS(E_F): 0.000 states/eV per atom
- Space group: C2
- Uncorrected energy: -6.8005 eV/atom
- Crystal system: monoclinic
- Density: 2.52 g/cm3

Lattice parameters (Å, degrees): 7.4073 7.4073 5.8633 71.52 71.52 85.48
Closest atoms and distances in Å follow each position.
Element x y z (fractional)
V 0.2109 0.3880 0.9940  4 O 1.68-1.82
O 0.6034 0.1181 0.4248  1 V 1.68
O 0.8819 0.3966 0.5752  1 V 1.68
O 0.6424 0.6548 0.7855  2 V 1.81-1.82
O 0.6788 0.6373 0.2731  2 V 1.80
Li 0.1595 0.8405 0.0000  4 O 2.01-2.06
O 0.0164 0.2445 0.1340  1 V 1.68
O 0.1508 0.6164 0.8812  1 V 1.69
O 0.9881 0.7781 0.3704  1 V 1.69
Li 0.8475 0.1525 0.5000  4 O 2.03-2.04
V 0.6120 0.7891 0.0060  4 O 1.68-1.82
Na 0.7522 0.2478 0.0000  4 O 2.29-2.32
V 0.3801 0.1966 0.5026  4 O 1.68-1.81
V 0.8034 0.6199 0.4974  4 O 1.68-1.81
O 0.3627 0.3212 0.7269  2 V 1.80
O 0.2219 0.0119 0.6296  1 V 1.69
Li 0.2038 0.7962 0.5000  4 O 2.00-2.14
O 0.3452 0.3576 0.2145  2 V 1.81-1.82
O 0.7555 0.9836 0.8660  1 V 1.68
O 0.3836 0.8492 0.1188  1 V 1.69